1) Here is crystalline Pm2SbF at its relaxed geometry from Alexandria via LeMat-Bulk. Energies are from PBE-GGA.

Summary:
For the total magnetization, the calculation gives 0.00 μB per atom. The theoretical density comes out at 7.228 g/cm3. The density of states at the Fermi level comes out at 12.99 states/eV per cell. As for the crystal system: cubic.

Lattice parameters (Å, degrees): 7.342 7.342 7.342 90.00 90.00 90.00
Positions (direct):
Pm1 0.250 0.250 0.250
Pm2 0.250 0.250 0.750
Pm3 0.250 0.750 0.250
Pm4 0.250 0.750 0.750
Pm5 0.750 0.250 0.250
Pm6 0.750 0.250 0.750
Pm7 0.750 0.750 0.250
Pm8 0.750 0.750 0.750
Sb1 0.000 0.000 0.000
Sb2 0.000 0.500 0.500
Sb3 0.500 0.000 0.500
Sb4 0.500 0.500 0.000
F1 0.000 0.000 0.500
F2 0.000 0.500 0.000
F3 0.500 0.000 0.000
F4 0.500 0.500 0.500


2) Here is crystalline Pm2SbF at its relaxed geometry from Alexandria via LeMat-Bulk. Energies are from PBE-GGA.

Summary:
For the total magnetization, the calculation gives 0.00 μB per atom. The theoretical density comes out at 7.162 g/cm3. The density of states at the Fermi level comes out at 3.56 states/eV per cell. As for the crystal system: tetragonal.

Lattice parameters (Å, degrees): 5.068 5.068 3.889 90.00 90.00 90.00
Positions (direct):
Pm1 0.000 0.500 0.000
Pm2 0.500 0.000 0.000
Sb1 0.000 0.000 0.500
F1 0.500 0.500 0.500


3) Here is crystalline Pm2SbF at its relaxed geometry from Alexandria via LeMat-Bulk. Energies are from PBE-GGA.

Summary:
For the total magnetization, the calculation gives 0.00 μB per atom. The theoretical density comes out at 6.413 g/cm3. The density of states at the Fermi level comes out at 7.80 states/eV per cell. As for the crystal system: monoclinic.

Lattice parameters (Å, degrees): 7.717 7.522 7.801 90.00 99.88 90.00
Positions (direct):
Pm1 0.050 0.170 0.334
Pm2 0.050 0.330 0.834
Pm3 0.395 0.748 0.481
Pm4 0.395 0.752 0.981
Pm5 0.605 0.248 0.019
Pm6 0.605 0.252 0.519
Pm7 0.950 0.670 0.166
Pm8 0.950 0.830 0.666
Sb1 0.332 0.075 0.718
Sb2 0.332 0.425 0.218
Sb3 0.668 0.575 0.782
Sb4 0.668 0.925 0.282
F1 0.089 0.648 0.906
F2 0.089 0.852 0.406
F3 0.911 0.148 0.594
F4 0.911 0.352 0.094


3) is preferred energetically. Next in line: 293 meV/atom higher.